DFT (PBE) results for a relaxed structure of Dy14TmCd.

Computed properties:
electronic total energy = -139.7 eV for the cell shown
DOS at the Fermi energy = 21.2 states/eV/f.u.
total moment = 0.0 μB per formula unit

Cell lengths 9.9642, 9.9150, 9.9171 Å; angles 90.00, 90.00, 90.00 degrees
Space group Amm2 (No. 38)
Unique sites:
Dy (0.0000, 0.0000, 0.9996)
Dy (0.0000, 0.0000, 0.5000)
Dy (0.0000, 0.2502, 0.2498)
Dy (0.2522, 0.0000, 0.2493)
Dy (0.2532, 0.0000, 0.7502)
Dy (0.2527, 0.2498, 0.9998)
Dy (0.5000, 0.2493, 0.2501)
Tm (0.5000, 0.0000, 0.9999)
Cd (0.5000, 0.0000, 0.4999)

***

DFT (PBE) results for a relaxed structure of CsK2CdSn.

Computed properties:
electronic total energy = -8.0 eV for the cell shown
DOS at the Fermi energy = 2.9 states/eV/f.u.
total moment = 0.4 μB per formula unit
ΔE to the lowest computed polymorph = 20 meV per atom

Cell lengths 6.7885, 6.7885, 5.5445 Å; angles 90.00, 90.00, 90.00 degrees
Space group P4/mmm (No. 123)
Unique sites:
Cs (0.0000, 0.0000, 0.0000)
K (0.0000, 0.5000, 0.5000)
Cd (0.5000, 0.5000, 0.5000)
Sn (0.5000, 0.5000, 0.0000)

***

- DOS at the Fermi energy of number 1 (Dy14TmCd)?
  21.2 states/eV/f.u.

***

- Look up the DOS at the Fermi energy of the second one.
  2.9 states/eV/f.u.

***

- Which of these has the lowest total moment?
  Dy14TmCd